AcPRu: relaxed, GGA-PBE.

a = 4.067 Å, b = 4.067 Å, c = 8.731 Å
α = 90.01°, β = 90.01°, γ = 90.00°
Sites, in units of the cell vectors:
Ac 0.813 0.866 0.621
Ac 0.314 0.367 0.219
P 0.814 0.866 0.060
P 0.314 0.366 0.780
Ru 0.814 0.366 0.920
Ru 0.314 0.866 0.920

crystal system = tetragonal
DFT formation energy = -0.941 eV per atom
ΔE to the lowest computed polymorph = 0.000 eV/atom
total energy = -7.206 eV/atom